DFT (PBE) results for RbHg2AuF8 after structural relaxation.

Calculated values
- ΔE_f (raw): -1.552 eV per atom
- M_tot: 0.0 μB/f.u.
- Total energy: -38.4 eV/cell

a b c (Å): 5.008 5.846 7.823
angles (deg): 84.40 89.50 88.75
Sites, in units of the cell vectors:
Rb: 0.000 0.000 0.500
Hg: 0.498 0.504 0.767
Hg: 0.502 0.496 0.233
Au: 0.000 0.000 0.000
F: 0.008 0.764 0.201
F: 0.510 0.739 0.028
F: 0.989 0.237 0.166
F: 0.992 0.236 0.799
F: 0.490 0.261 0.972
F: 0.011 0.763 0.834
F: 0.507 0.732 0.552
F: 0.493 0.268 0.448